[1]
Ac8CdSn6 PBE-GGA relaxed; energy relative to the elements = -0.547 eV per atom; density of states at the Fermi level = 0.343 states/eV/atom
1.0
10.039 0.000 0.000
5.020 8.694 0.000
5.020 2.898 6.863
Ac Sn Cd
8 6 1
Direct
0.667 0.667 0.999
0.333 0.333 0.001
0.103 0.381 0.713
0.803 0.103 0.713
0.897 0.619 0.287
0.197 0.897 0.287
0.381 0.803 0.713
0.619 0.197 0.287
0.933 0.289 0.218
0.711 0.440 0.782
0.440 0.067 0.782
0.067 0.711 0.782
0.560 0.933 0.218
0.289 0.560 0.218
0.000 0.000 0.000

---

[2]
PaRe2Sn PBE-GGA relaxed; energy relative to the elements = 0.212 eV per atom; offset from the most stable computed form = 124.3 meV per atom; density of states at the Fermi level = 1.361 states/eV/atom
1.0
-2.052 3.148 2.941
0.539 -0.441 4.721
2.689 3.130 2.398
Sn Re Pa
1 2 1
Direct
0.500 0.500 0.500
0.750 0.750 0.750
0.250 0.250 0.250
0.000 0.000 0.000

---

[3]
La2TbNdSm4 PBE-GGA relaxed; energy relative to the elements = 0.021 eV per atom; density of states at the Fermi level = 1.621 states/eV/atom
1.0
-0.293 0.788 5.117
0.937 -5.017 0.826
11.089 -3.095 1.111
Sm La Tb Nd
4 2 1 1
Direct
0.500 0.251 0.749
0.000 0.248 0.252
0.000 0.752 0.748
0.500 0.749 0.251
0.500 0.000 0.500
0.000 0.000 0.000
0.000 0.500 0.500
0.500 0.500 0.000

---

[4]
GeOs2C2 PBE-GGA relaxed; energy relative to the elements = 1.358 eV per atom; offset from the most stable computed form = 479.6 meV per atom; density of states at the Fermi level = 0.621 states/eV/atom
1.0
-1.594 -6.318 -0.949
1.906 0.464 -6.286
2.515 -0.741 0.708
Os C Ge
4 4 2
Direct
0.858 0.642 0.000
0.642 0.142 0.000
0.358 0.858 0.000
0.142 0.358 0.000
0.875 0.375 0.500
0.375 0.125 0.500
0.125 0.625 0.500
0.625 0.875 0.500
0.500 0.500 0.000
0.000 0.000 0.000

---

[5]
RbCuIrBr6 PBE-GGA relaxed; ΔE_f (raw) = -0.571 eV per atom; density of states at the Fermi level = 0.879 states/eV/atom
1.0
6.701 0.000 0.000
3.351 5.803 0.000
0.000 -0.001 7.811
Br Ir Cu Rb
6 1 1 1
Direct
0.358 0.628 0.318
0.014 0.629 0.682
0.014 0.358 0.318
0.358 0.014 0.682
0.628 0.358 0.682
0.628 0.014 0.318
0.333 0.333 0.500
0.667 0.667 0.500
0.000 0.000 0.000

---

[6]
RbLiPS2 PBE-GGA relaxed; ΔE_f (raw) = 1.027 eV per atom; offset from the most stable computed form = 884.4 meV per atom; density of states at the Fermi level = 1.009 states/eV/atom
1.0
-5.285 2.588 1.281
-2.845 -4.204 -3.242
-0.519 -3.592 5.113
Rb S P Li
1 2 1 1
Direct
0.000 0.000 0.000
0.500 0.000 0.000
0.000 0.500 0.000
0.000 0.000 0.500
0.500 0.500 0.500

---

[7]
KUSb2Pd2 PBE-GGA relaxed; ΔE_f (raw) = -0.501 eV per atom; density of states at the Fermi level = 1.102 states/eV/atom
1.0
4.742 0.000 0.000
-2.371 4.107 0.000
0.000 0.000 8.359
Pd Sb U K
2 2 1 1
Direct
0.667 0.333 0.656
0.333 0.667 0.344
0.333 0.667 0.701
0.667 0.333 0.299
0.000 0.000 0.500
0.000 0.000 0.000

---

[8]
Li5In2Pb6 PBE-GGA relaxed; energy relative to the elements = -0.152 eV per atom; density of states at the Fermi level = 0.361 states/eV/atom
1.0
-3.271 0.807 -0.432
-0.884 -7.535 -7.378
-4.662 -12.018 12.833
Pb Li In
12 10 4
Direct
0.500 0.682 0.874
0.500 0.318 0.126
0.000 0.389 0.884
0.000 0.535 0.406
0.000 0.965 0.906
0.500 0.818 0.374
0.000 0.889 0.616
0.000 0.111 0.384
0.000 0.035 0.094
0.500 0.182 0.626
0.000 0.465 0.594
0.000 0.611 0.116
0.500 0.690 0.530
0.500 0.086 0.243
0.500 0.190 0.970
0.500 0.914 0.757
0.500 0.810 0.030
0.500 0.500 0.000
0.500 0.000 0.500
0.500 0.414 0.743
0.500 0.586 0.257
0.500 0.310 0.470
0.000 0.838 0.224
0.000 0.162 0.776
0.000 0.338 0.276
0.000 0.662 0.724

---

[9]
Ac4In5Rh2 PBE-GGA relaxed; energy relative to the elements = -0.514 eV per atom; density of states at the Fermi level = 0.639 states/eV/atom
1.0
-0.872 -1.212 -3.755
6.902 -4.041 -0.298
-5.215 -7.877 3.753
In Ac Rh
5 4 2
Direct
0.000 0.812 0.843
0.000 0.188 0.157
0.000 0.450 0.682
0.000 0.500 0.000
0.000 0.550 0.318
0.500 0.776 0.554
0.500 0.828 0.148
0.500 0.224 0.446
0.500 0.172 0.852
0.000 0.074 0.645
0.000 0.926 0.355

---

[10]
Tb5Pm3Sn PBE-GGA relaxed; energy relative to the elements = 0.212 eV per atom; density of states at the Fermi level = 1.380 states/eV/atom
1.0
7.242 0.036 -1.356
2.017 6.956 -1.356
1.030 0.778 12.417
Tb Sn Pm
10 2 6
Direct
0.461 0.461 0.744
0.324 0.676 0.000
0.751 0.751 0.058
0.249 0.249 0.942
0.676 0.324 0.000
0.527 0.912 0.803
0.473 0.088 0.197
0.539 0.539 0.256
0.912 0.527 0.803
0.088 0.473 0.197
0.208 0.208 0.669
0.792 0.792 0.331
0.000 0.000 0.500
0.338 0.338 0.460
0.966 0.966 0.749
0.034 0.034 0.251
0.000 0.000 0.000
0.662 0.662 0.540

---

[11]
SmErOs PBE-GGA relaxed; energy relative to the elements = -0.187 eV per atom; offset from the most stable computed form = 0.0 meV per atom; density of states at the Fermi level = 0.498 states/eV/atom
1.0
-0.788 3.269 0.570
-2.851 -0.966 1.603
5.135 -1.359 4.688
Sm Er Os
1 1 1
Direct
0.040 0.040 0.080
0.290 0.290 0.581
0.670 0.670 0.340

---

[12]
PuSnPbAu PBE-GGA relaxed; energy relative to the elements = -0.163 eV per atom; density of states at the Fermi level = 3.347 states/eV/atom
1.0
-2.407 -2.493 3.958
2.517 -3.793 2.637
1.549 0.827 4.959
Au Pb Pu Sn
1 1 1 1
Direct
0.000 0.000 0.000
0.250 0.250 0.250
0.750 0.750 0.750
0.500 0.500 0.500

---

[13]
Y3Co PBE-GGA relaxed; energy relative to the elements = 0.314 eV per atom; density of states at the Fermi level = 1.542 states/eV/atom
1.0
-4.301 0.719 0.732
-0.160 -3.587 2.580
-1.046 1.467 5.763
Co Y
1 3
Direct
0.000 0.000 0.000
0.750 0.250 0.500
0.250 0.750 0.500
0.500 0.500 0.000

---

[14]
TbHo2Pt PBE-GGA relaxed; energy relative to the elements = -0.306 eV per atom; offset from the most stable computed form = 415.7 meV per atom; density of states at the Fermi level = 1.610 states/eV/atom
1.0
-3.370 -1.458 0.045
-0.492 -3.451 1.155
-2.670 1.861 10.260
Ho Pt Tb
2 1 1
Direct
0.110 0.110 0.671
0.890 0.890 0.329
0.500 0.500 0.500
0.000 0.000 0.000

---

[15]
Fe3CoRh PBE-GGA relaxed; energy relative to the elements = 0.150 eV per atom; offset from the most stable computed form = 155.4 meV per atom; density of states at the Fermi level = 0.839 states/eV/atom
1.0
4.418 0.000 0.000
0.000 4.852 0.000
0.000 0.000 11.820
Co Rh Fe
4 4 12
Direct
0.750 0.250 0.553
0.250 0.250 0.053
0.750 0.750 0.947
0.250 0.750 0.447
0.344 0.500 0.250
0.656 0.500 0.750
0.156 0.000 0.250
0.844 0.000 0.750
0.693 0.001 0.138
0.193 0.499 0.638
0.307 0.001 0.638
0.750 0.250 0.949
0.307 0.999 0.862
0.693 0.999 0.362
0.250 0.250 0.449
0.750 0.750 0.551
0.807 0.501 0.362
0.807 0.499 0.138
0.250 0.750 0.051
0.193 0.501 0.862

---

[16]
TaHgI2N PBE-GGA relaxed; ΔE_f (raw) = 0.020 eV per atom; offset from the most stable computed form = 0.0 meV per atom; density of states at the Fermi level = 0.489 states/eV/atom
1.0
5.801 0.000 0.000
0.000 5.801 0.000
0.000 0.000 3.944
I Hg N Ta
2 1 1 1
Direct
0.000 0.500 0.000
0.500 0.000 0.000
0.500 0.500 0.500
0.000 0.000 0.500
0.000 0.000 0.000

---

[17]
Ba2Tl6GaPb PBE-GGA relaxed; energy relative to the elements = -0.129 eV per atom; density of states at the Fermi level = 0.551 states/eV/atom
1.0
-2.311 4.211 -6.017
-7.411 1.964 -0.705
-0.845 13.696 4.985
Tl Ga Ba Pb
12 2 4 2
Direct
0.079 0.666 0.589
0.921 0.334 0.411
0.334 0.334 0.411
0.666 0.666 0.589
0.346 0.781 0.092
0.781 0.781 0.092
0.654 0.219 0.908
0.666 0.079 0.589
0.219 0.654 0.908
0.781 0.346 0.092
0.334 0.921 0.411
0.219 0.219 0.908
0.500 0.500 0.500
0.000 0.000 0.000
0.892 0.892 0.325
0.719 0.719 0.842
0.281 0.281 0.158
0.108 0.108 0.675
0.425 0.425 0.724
0.575 0.575 0.276

---

[18]
Tl3Ag3PbBr8 PBE-GGA relaxed; ΔE_f (raw) = -0.639 eV per atom; density of states at the Fermi level = 0.000 states/eV/atom
1.0
-6.626 2.889 4.699
1.156 -8.509 -1.048
5.778 4.511 5.374
Br Tl Pb Ag
8 3 1 3
Direct
0.246 0.972 0.716
0.264 0.528 0.294
0.754 0.028 0.284
0.736 0.472 0.706
0.756 0.512 0.286
0.726 0.972 0.716
0.274 0.028 0.284
0.244 0.488 0.714
0.500 0.500 0.000
0.000 0.500 0.000
0.000 0.000 0.000
0.000 0.000 0.500
0.000 0.500 0.500
0.500 0.500 0.500
0.500 0.000 0.500

---

[19]
Ac2PdPt PBE-GGA relaxed; energy relative to the elements = -0.987 eV per atom; density of states at the Fermi level = 0.517 states/eV/atom
1.0
4.401 0.000 0.000
2.200 3.811 0.000
2.200 1.270 7.214
Pt Ac Pd
1 2 1
Direct
0.500 0.500 0.500
0.752 0.752 0.744
0.248 0.248 0.256
0.000 0.000 0.000

---

[20]
TcMoCl3 PBE-GGA relaxed; ΔE_f (raw) = 0.654 eV per atom; offset from the most stable computed form = 0.0 meV per atom; density of states at the Fermi level = 0.516 states/eV/atom
1.0
4.948 0.000 0.000
0.000 4.948 0.000
0.000 0.000 4.948
Cl Mo Tc
3 1 1
Direct
0.000 0.000 0.500
0.500 0.000 0.000
0.000 0.500 0.000
0.500 0.500 0.500
0.000 0.000 0.000